SrMg2Ta | PBE | optimized geometry

Cell: 3.161 5.612 11.181 Å, 90.00 90.00 90.00°
Atoms (fractional coordinates):
Sr 0.000 0.000 0.000
Sr 0.500 0.500 0.500
Mg 0.000 0.000 0.493
Mg 0.000 0.500 0.230
Mg 0.500 0.000 0.730
Mg 0.500 0.500 0.993
Ta 0.000 0.500 0.774
Ta 0.500 0.000 0.274

Summary:
Raw total energy, eV per cell: -28.66
Magnetic moment, μB/atom: 0.00